PmZrW (PBE, optimized geometry); electronic total energy = -8.024 eV per atom; ΔH_f (0 K) = 2.182 eV per formula unit; symmetry = F-43m, No. 216
1.0
0.000 3.364 3.364
3.364 0.000 3.364
3.364 3.364 0.000
Pm Zr W
1 1 1
Cartesian
0.000 0.000 0.000
3.364 3.364 3.364
1.682 1.682 1.682